[1]
# KBa2Au

A relaxed KBa2Au crystal (PBE, Alexandria via LeMat-Bulk).

Values from the calculation:
The value obtained for the energy above the most stable polymorph in this dataset is 0.094 eV per atom. The formation energy is -279.5 meV per atom. Its magnetic moment is 0.000 μB per atom.

Lattice parameters (Å, degrees): 22.655 4.275 4.613 90.00 101.69 90.00
Space group Cm (No. 8)
One atom of each set of equivalent atoms:
K: 0.000 0.000 0.000 x2
Ba: 0.162 0.500 0.661 x2
Ba: 0.327 0.500 0.326 x2
Au: 0.274 0.000 0.773 x2

[2]
# K2BaAu

A relaxed K2BaAu crystal (PBE, Alexandria via LeMat-Bulk).

Values from the calculation:
The value obtained for the energy above the most stable polymorph in this dataset is 0.263 eV per atom. The formation energy is -67.8 meV per atom. Its magnetic moment is 0.142 μB per atom.

Lattice parameters (Å, degrees): 4.5824 4.5824 35.8731 90.00 90.00 120.00
Space group R-3m (No. 166, hexagonal axes)
One atom of each set of equivalent atoms:
K: 0.0000 0.0000 0.2227 x6
Ba: 0.0000 0.0000 0.0000 x3
Au: 0.0000 0.0000 0.5000 x3